Entry from the Alexandria database: crystalline BeTlSe2 at its relaxed geometry (PBE).

abc: 8.279 8.279 8.279
angles: 153.63 153.63 37.64
Positions (direct):
Be 0.750 0.250 0.500
Tl 0.500 0.500 0.000
Se 0.000 0.000 0.000
Se 0.250 0.750 0.500

Summary:
Polymorph energy (0 for the lowest one): 695.6 meV per atom
Calculated density: 5515 kg/m³
ΔE_f (raw): 0.29 eV/atom
Spin magnetization: 0.00 μB/cell

---

Entry from the Alexandria database: crystalline Pu2HgSe at its relaxed geometry (PBE).

abc: 3.894 3.894 8.738
angles: 77.13 77.13 60.00
Positions (direct):
Hg 0.500 0.500 0.500
Se 0.000 0.000 0.000
Pu 0.740 0.740 0.779
Pu 0.260 0.260 0.221

Summary:
Polymorph energy (0 for the lowest one): 45.8 meV per atom
Calculated density: 11496 kg/m³
ΔE_f (raw): -0.62 eV/atom
Spin magnetization: 12.24 μB/cell

---

Look up the ΔE_f (raw) of the second one.
-0.62 eV/atom